1.
The following is a PBE calculation of a relaxed CeEr2UAs4 crystal, from Alexandria via LeMat-Bulk.

Values from the calculation:
energy of formation from the pure elements = -1290 meV/atom
space-group type = P2/m

Cell: 7.121 4.103 7.151 Å, 90.00 109.32 90.00°
Positions (direct):
Ce  0.000  0.000  0.000
Er  0.000  0.500  0.500
Er  0.500  0.000  0.500
U  0.500  0.500  0.000
As  0.253  0.000  0.747
As  0.256  0.500  0.254
As  0.744  0.500  0.746
As  0.747  0.000  0.253



2.
The following is a PBE calculation of a relaxed TiReN crystal, from Alexandria via LeMat-Bulk.

Values from the calculation:
formation energy without anion corrections = -0.141 eV/atom
space-group type = Aem2

Cell: 5.781 4.923 5.594 Å, 90.00 90.00 90.00°
Positions (direct):
Ti  0.151  0.250  0.000
Ti  0.151  0.750  0.500
Ti  0.849  0.250  0.500
Ti  0.849  0.750  0.000
Re  0.500  0.000  0.319
Re  0.500  0.000  0.819
Re  0.500  0.500  0.319
Re  0.500  0.500  0.819
N  0.179  0.250  0.353
N  0.179  0.750  0.853
N  0.821  0.250  0.853
N  0.821  0.750  0.353



3.
The following is a PBE calculation of a relaxed BaNdCd2 crystal, from Alexandria via LeMat-Bulk.

Values from the calculation:
energy of formation from the pure elements = -300 meV/atom
space-group type = P4/mmm

Cell: 4.014 4.014 8.222 Å, 90.00 90.00 90.00°
Positions (direct):
Ba  0.000  0.000  0.000
Nd  0.000  0.000  0.500
Cd  0.500  0.500  0.289
Cd  0.500  0.500  0.711



4.
The following is a PBE calculation of a relaxed TaB4W3 crystal, from Alexandria via LeMat-Bulk.

Values from the calculation:
energy of formation from the pure elements = -202 meV/atom
space-group type = Immm

Cell: 3.074 4.822 12.398 Å, 90.00 90.00 90.00°
Positions (direct):
Ta  0.000  0.000  0.000
Ta  0.500  0.500  0.500
B  0.000  0.327  0.135
B  0.000  0.327  0.865
B  0.000  0.673  0.135
B  0.000  0.673  0.865
B  0.500  0.173  0.365
B  0.500  0.173  0.635
B  0.500  0.827  0.365
B  0.500  0.827  0.635
W  0.000  0.000  0.500
W  0.000  0.500  0.306
W  0.000  0.500  0.694
W  0.500  0.000  0.194
W  0.500  0.000  0.806
W  0.500  0.500  0.000



Which formula does entry 1 have? CeEr2UAs4